No. 1
DFT (PBE) results for MgTlZn2 after structural relaxation.

The structure in POSCAR format:
```
MgTlZn2
1.0
4.2777 0.0000 0.0000
0.0000 4.2777 0.0000
0.0000 0.0000 8.8358
Mg Tl Zn
2 2 4
direct
0.0000 0.0000 0.0000
0.5000 0.5000 0.5000
0.0000 0.5000 0.7500
0.5000 0.0000 0.2500
0.0000 0.0000 0.5000
0.0000 0.5000 0.2500
0.5000 0.0000 0.7500
0.5000 0.5000 0.0000
```

Results
Energy relative to the lowest polymorph listed for this composition: 0.0283 eV per atom
DOS at the Fermi energy: 2.517 states/eV per cell
Space-group type: I-4m2
DFT total energy: -0.0568 Ha/atom
Energy of formation from the pure elements: 0.082 eV per atom

No. 2
DFT (PBE) results for TbMg3Hg4 after structural relaxation.

The structure in POSCAR format:
```
TbMg3Hg4
1.0
2.4693 1.4257 8.4844
-2.4693 1.4257 8.4844
0.0000 -2.8513 8.4844
Tb Mg Hg
1 3 4
direct
0.0000 0.0000 0.0000
0.2482 0.2482 0.2482
0.5000 0.5000 0.5000
0.7518 0.7518 0.7518
0.1269 0.1269 0.1269
0.3814 0.3814 0.3814
0.6186 0.6186 0.6186
0.8731 0.8731 0.8731
```

Results
DOS at the Fermi energy: 4.186 states/eV per cell
Space-group type: R-3m
DFT total energy: -0.0607 Ha/atom
Energy of formation from the pure elements: -0.325 eV per atom

No. 3
DFT (PBE) results for Nd2HoAg after structural relaxation.

The structure in POSCAR format:
```
Nd2HoAg
1.0
3.6933 0.0000 0.0000
0.0000 3.6933 0.0000
0.0000 0.0000 8.8289
Nd Ho Ag
2 1 1
direct
0.0000 0.0000 0.2199
0.0000 0.0000 0.7801
0.5000 0.5000 0.5000
0.5000 0.5000 0.0000
```

Results
Energy relative to the lowest polymorph listed for this composition: 0.0168 eV per atom
DOS at the Fermi energy: 6.496 states/eV per cell
Space-group type: P4/mmm
DFT total energy: -0.1594 Ha/atom
Energy of formation from the pure elements: -0.096 eV per atom